No. 1
{"formula": "RbMgGa2Br", "functional": "PBE", "state": "optimized geometry", "lattice_angstrom": [[-1.221, 1.989, -5.506], [1.474, -4.845, -2.077], [-5.629, -1.946, 0.545]], "species": ["Mg", "Ga", "Ga", "Br", "Rb"], "frac_coords": [[0.000, 0.500, 0.000], [0.000, 0.000, 0.500], [0.500, 0.000, 0.000], [0.000, 0.000, 0.000], [0.500, 0.500, 0.500]], "e_form_raw_ev_per_fu": 0.829, "final_energy_ev_per_atom": -1.892, "dos_at_fermi_per_ev_atom": 0.522}

***

No. 2
{"formula": "Na3MnFe", "functional": "PBE", "state": "optimized geometry", "lattice_angstrom": [[-1.265, 2.127, -4.911], [-5.339, -0.161, 1.306], [0.362, 5.068, 2.102]], "species": ["Na", "Na", "Na", "Mn", "Fe"], "frac_coords": [[0.000, 0.500, 0.000], [0.000, 0.000, 0.500], [0.500, 0.000, 0.000], [0.000, 0.000, 0.000], [0.500, 0.500, 0.500]], "relative_energy_mev_per_atom": 452, "final_energy_ev_per_atom": -2.621, "dos_at_fermi_per_ev_atom": 5.287, "e_form_ev_per_atom": 1.697}